The following is a PBEsol calculation of a relaxed ZrNbNi2 crystal, from Alexandria.

Lattice parameters (Å, degrees): 6.212 6.212 6.212 90.00 90.00 90.00
Space group Fm-3m (No. 225)
Unique sites:
1 Zr 0.000 0.000 0.000 [4 per cell]
2 Nb 0.000 0.000 0.500 [4 per cell]
3 Ni 0.250 0.250 0.250 [8 per cell]

DFT total energy: -131.53 eV for the cell shown
DFT formation energy: -0.66 eV/f.u.